Density functional theory data (PBE) for a relaxed CeY2Zn2In2 crystal.

Lattice parameters (Å, degrees): 9.711 9.711 9.711 28.13 28.13 28.13
Fractional positions:
Ce (0.000, 0.000, 0.000)
Y (0.128, 0.128, 0.128)
Y (0.872, 0.872, 0.872)
Zn (0.397, 0.397, 0.397)
Zn (0.603, 0.603, 0.603)
In (0.260, 0.260, 0.260)
In (0.740, 0.740, 0.740)

Mass density in Mg/m³: 6.3
Uncorrected energy in eV/atom: -4.10